# 1
3
Lattice="0.0000 3.8230 3.8230 3.8230 0.0000 3.8230 3.8230 3.8230 0.0000" Properties=species:S:1:pos:R:3 comment="NaLaDy, optimized geometry, DFT PBE" magmom_total_mub_per_cell=1.95 spacegroup="F-43m, No. 216" relative_energy_ev_per_atom=0.0000 dft_energy_ev_per_atom=-2.861 pbc="T T T"
Dy 1.9115 1.9115 1.9115
La 5.7346 5.7346 5.7346
Na 0.0000 0.0000 0.0000

***

# 2
9
Lattice="6.8800 0.0000 0.0000 0.0000 3.3373 0.0000 0.0000 0.0000 3.3373" Properties=species:S:1:pos:R:3 comment="B2Ir2O5, optimized geometry, DFT PBE" magmom_total_mub_per_cell=0.00 spacegroup="P4/mmm, No. 123" relative_energy_ev_per_atom=0.0000 dft_energy_ev_per_atom=-6.185 pbc="T T T"
O 1.3450 1.6686 0.0000
O 5.5350 1.6686 0.0000
O 1.3450 0.0000 1.6686
O 3.4400 1.6686 1.6686
O 5.5350 0.0000 1.6686
Ir 3.4400 0.0000 0.0000
Ir 0.0000 0.0000 0.0000
B 4.9122 1.6686 1.6686
B 1.9678 1.6686 1.6686

***

# 3
3
Lattice="-2.4492 -1.9406 2.8354 -4.2001 0.2108 -0.3442 -2.2007 -3.4260 -1.1062" Properties=species:S:1:pos:R:3 comment="PuTcNi, optimized geometry, DFT PBE" magmom_total_mub_per_cell=0.00 spacegroup="F-43m, No. 216" formation_enthalpy_0k_mev_per_atom=871 relative_energy_ev_per_atom=0.0849 dft_energy_ev_per_atom=-9.147 pbc="T T T"
Ni -2.2125 -1.2890 0.3462
Tc -6.6376 -3.8669 1.0387
Pu 0.0000 0.0000 0.0000